Density functional theory data (PBE-GGA) for a relaxed structure of Na2VAu.

Geometry as POSCAR:
```
Na2VAu
1.0
-4.219 4.219 2.744
4.219 -4.219 2.744
4.219 4.219 -2.744
Na V Au
4 2 2
direct
0.090 0.625 0.965
0.375 0.340 0.465
0.660 0.125 0.035
0.875 0.910 0.535
0.250 0.750 0.500
0.500 0.500 0.000
0.000 0.000 0.000
0.750 0.250 0.500
```

Computed properties:
crystal system: tetragonal
energy above the lowest structure with this stoichiometry: 25 meV per atom
SG: No. 122
uncorrected energy: -3.19 eV per atom